# 1
# PuSe2

Crystalline PuSe2 at its relaxed geometry (PBE, the Open Quantum Materials Database).

Computed properties:
V, Å³ per atom: 41.6
Size of the total moment, μB/cell: 32.00
Uncorrected energy, eV for the cell shown: -194.70

abc: 3.956 6.851 36.796
angles: 90.00 90.00 90.00
Space group C222_1 (No. 20)
One atom of each set of equivalent atoms:
Pu (0.240, 0.001, 0.410) [8 per cell]
Se (0.240, 0.334, 0.364) [8 per cell]
Se (0.240, 0.334, 0.456) [8 per cell]

# 2
# PuSe2

Crystalline PuSe2 at its relaxed geometry (PBE, the Open Quantum Materials Database).

Computed properties:
V, Å³ per atom: 44.5
Size of the total moment, μB/cell: 8.01
Uncorrected energy, eV for the cell shown: -49.70

abc: 4.171 4.171 17.777
angles: 85.04 86.53 60.00
Space group P-1 (No. 2)
One atom of each set of equivalent atoms:
Pu (0.017, 0.055, 0.329) [2 per cell]
Se (0.325, 0.305, 0.589) [2 per cell]
Se (0.358, 0.415, 0.246) [2 per cell]

# 3
# Pu2Se3

Crystalline Pu2Se3 at its relaxed geometry (PBE, the Open Quantum Materials Database).

Computed properties:
V, Å³ per atom: 24.7
Size of the total moment, μB/cell: 40.01
Uncorrected energy, eV for the cell shown: -186.72

abc: 11.126 4.079 10.878
angles: 90.00 90.00 90.00
Space group Pnma (No. 62)
One atom of each set of equivalent atoms:
Pu (0.005, 0.250, 0.185) [4 per cell]
Pu (0.188, 0.250, 0.508) [4 per cell]
Se (0.050, 0.750, 0.370) [4 per cell]
Se (0.125, 0.250, 0.944) [4 per cell]
Se (0.232, 0.750, 0.703) [4 per cell]

# 4
# PuSe2

Crystalline PuSe2 at its relaxed geometry (PBE, the Open Quantum Materials Database).

Computed properties:
V, Å³ per atom: 29.7
Size of the total moment, μB/cell: 16.02
Uncorrected energy, eV for the cell shown: -97.35

abc: 3.9526 3.9526 26.3132
angles: 90.00 90.00 120.00
Space group P-6m2 (No. 187)
One atom of each set of equivalent atoms:
Pu (0.0000, 0.0000, 0.0000) [1 per cell]
Pu (0.0000, 0.0000, 0.2501) [2 per cell]
Pu (0.6667, 0.3333, 0.5000) [1 per cell]
Se (0.0000, 0.0000, 0.4356) [2 per cell]
Se (0.3333, 0.6667, 0.1856) [2 per cell]
Se (0.3333, 0.6667, 0.3143) [2 per cell]
Se (0.6667, 0.3333, 0.0644) [2 per cell]

# 5
# PuSe

Crystalline PuSe at its relaxed geometry (PBE, the Open Quantum Materials Database).

Computed properties:
V, Å³ per atom: 25.5
Size of the total moment, μB/cell: 11.95
Uncorrected energy, eV for the cell shown: -41.46

abc: 4.0153 4.0153 7.3068
angles: 90.00 90.00 120.00
Space group P6_3/mmc (No. 194)
One atom of each set of equivalent atoms:
Pu (0.3333, 0.6667, 0.2500) [2 per cell]
Se (0.0000, 0.0000, 0.0000) [2 per cell]

# 6
# PuSe

Crystalline PuSe at its relaxed geometry (PBE, the Open Quantum Materials Database).

Computed properties:
V, Å³ per atom: 25.3
Size of the total moment, μB/cell: 23.17
Uncorrected energy, eV for the cell shown: -83.49

abc: 5.870 5.870 5.870
angles: 90.00 90.00 90.00
Space group Fm-3m (No. 225)
One atom of each set of equivalent atoms:
Pu (0.000, 0.000, 0.000) [4 per cell]
Se (0.000, 0.000, 0.500) [4 per cell]